Density functional theory data (PBE-GGA) for HfVPd2 after structural relaxation.

Its offset from the most stable computed form is 0.00 eV per formula unit. The theoretical density is 11.23 g/cm³. For the formation energy, the calculation gives -0.40 eV/atom.

Lattice parameters (Å, degrees): 4.080 4.080 3.930 90.00 90.00 90.00
Space group P4/mmm (No. 123)
Symmetry-distinct sites (fractional):
Hf (0.000, 0.000, 0.000) x1
V (0.500, 0.500, 0.000) x1
Pd (0.000, 0.500, 0.500) x2

Density functional theory data (PBE-GGA) for TiFeNiP after structural relaxation.

Its offset from the most stable computed form is 0.52 eV per formula unit. The theoretical density is 6.79 g/cm³. For the formation energy, the calculation gives -0.48 eV/atom.

Lattice parameters (Å, degrees): 3.532 3.840 6.975 90.00 90.00 90.00
Space group Imm2 (No. 44)
Symmetry-distinct sites (fractional):
Ti (0.000, 0.000, 0.000) x2
Fe (0.000, 0.500, 0.236) x2
Ni (0.000, 0.500, 0.763) x2
P (0.000, 0.000, 0.490) x2

Density functional theory data (PBE-GGA) for CaHIO2 after structural relaxation.

Its offset from the most stable computed form is 0.00 eV per formula unit. The theoretical density is 4.74 g/cm³.

Lattice parameters (Å, degrees): 4.470 4.470 3.505 90.00 90.00 90.00
Space group P4/mmm (No. 123)
Symmetry-distinct sites (fractional):
Ca (0.000, 0.000, 0.000) x1
H (0.500, 0.500, 0.500) x1
I (0.500, 0.500, 0.000) x1
O (0.000, 0.500, 0.500) x2

Density functional theory data (PBE-GGA) for TiP after structural relaxation.

The theoretical density is 3.63 g/cm³. For the formation energy, the calculation gives -0.89 eV/atom.

Lattice parameters (Å, degrees): 7.1805 7.1805 4.8493 90.00 90.00 120.00
Space group P6_3/m (No. 176)
Symmetry-distinct sites (fractional):
Ti (0.0525, 0.3658, 0.2500) x6
P (0.0624, 0.3681, 0.7500) x6

Density functional theory data (PBE-GGA) for Sr2AuC after structural relaxation.

The theoretical density is 5.37 g/cm³. For the formation energy, the calculation gives 0.35 eV/atom.

Lattice parameters (Å, degrees): 7.546 7.546 8.342 90.00 90.00 90.00
Space group I-42d (No. 122)
Symmetry-distinct sites (fractional):
Sr (0.186, 0.750, 0.125) x8
Au (0.000, 0.000, 0.500) x4
C (0.000, 0.000, 0.000) x4

Density functional theory data (PBE-GGA) for In2AgW after structural relaxation.

Its offset from the most stable computed form is 0.87 eV per formula unit. The theoretical density is 11.02 g/cm³. For the formation energy, the calculation gives 0.62 eV/atom.

Lattice parameters (Å, degrees): 3.021 5.370 9.684 90.00 90.00 90.00
Space group Immm (No. 71)
Symmetry-distinct sites (fractional):
In (0.000, 0.000, 0.247) x4
Ag (0.000, 0.500, 0.500) x2
W (0.000, 0.500, 0.000) x2

Density functional theory data (PBE-GGA) for ZrAs2Os after structural relaxation.

Its offset from the most stable computed form is 0.77 eV per formula unit. The theoretical density is 9.77 g/cm³. For the formation energy, the calculation gives -0.19 eV/atom.

Lattice parameters (Å, degrees): 4.487 3.047 10.726 90.00 90.00 90.00
Space group Amm2 (No. 38)
Symmetry-distinct sites (fractional):
Zr (0.000, 0.000, 0.000) x2
As (0.000, 0.000, 0.268) x2
As (0.500, 0.000, 0.579) x2
Os (0.500, 0.000, 0.351) x2

Density functional theory data (PBE-GGA) for PmPrCu after structural relaxation.

Its offset from the most stable computed form is 0.66 eV per formula unit. The theoretical density is 6.56 g/cm³. For the formation energy, the calculation gives 0.12 eV/atom.

Lattice parameters (Å, degrees): 7.075 7.075 7.075 90.00 90.00 90.00
Space group F-43m (No. 216)
Symmetry-distinct sites (fractional):
Pm (0.000, 0.000, 0.000) x4
Pr (0.000, 0.000, 0.500) x4
Cu (0.250, 0.250, 0.250) x4

What did the sixth record say?
Density functional theory data (PBE-GGA) for In2AgW after structural relaxation.

Its offset from the most stable computed form is 0.87 eV per formula unit. The theoretical density is 11.02 g/cm³. For the formation energy, the calculation gives 0.62 eV/atom.

Lattice parameters (Å, degrees): 3.021 5.370 9.684 90.00 90.00 90.00
Space group Immm (No. 71)
Symmetry-distinct sites (fractional):
In (0.000, 0.000, 0.247) x4
Ag (0.000, 0.500, 0.500) x2
W (0.000, 0.500, 0.000) x2